(1)
Density functional theory data (PBEsol) for DyMn4Cu3O12 after structural relaxation.

Results
ΔE_f (raw) in eV per atom: -1.63
Energy in eV/atom: -7.6348

a b c (Å): 6.2081 6.2081 6.2081
angles (deg): 109.47 109.47 109.47
Closest atoms and distances in Å follow each position.
Atoms (fractional coordinates):
Mn1 0.5000 0.0000 0.0000  6 O 1.90
Mn2 0.5000 0.5000 0.5000  6 O 1.90
Mn3 0.0000 0.0000 0.5000  6 O 1.90
Mn4 0.0000 0.5000 0.0000  6 O 1.90
Cu1 0.5000 0.5000 0.0000  4 O 1.92
Cu2 0.5000 0.0000 0.5000  4 O 1.92
Cu3 0.0000 0.5000 0.5000  4 O 1.92
O1 0.8789 0.7020 0.1769  2 Mn 1.90, 1 Cu 1.92
O2 0.7020 0.1769 0.8789  2 Mn 1.90, 1 Cu 1.92
O3 0.7020 0.8231 0.5251  2 Mn 1.90, 1 Cu 1.92
O4 0.4749 0.2980 0.1769  2 Mn 1.90, 1 Cu 1.92
O5 0.8231 0.1211 0.2980  2 Mn 1.90, 1 Cu 1.92
O6 0.1769 0.8789 0.7020  2 Mn 1.90, 1 Cu 1.92
O7 0.8231 0.5251 0.7020  2 Mn 1.90, 1 Cu 1.92
O8 0.1211 0.2980 0.8231  2 Mn 1.90, 1 Cu 1.92
O9 0.1769 0.4749 0.2980  2 Mn 1.90, 1 Cu 1.92
O10 0.2980 0.1769 0.4749  2 Mn 1.90, 1 Cu 1.92
O11 0.5251 0.7020 0.8231  2 Mn 1.90, 1 Cu 1.92
O12 0.2980 0.8231 0.1211  2 Mn 1.90, 1 Cu 1.92
Dy1 0.0000 0.0000 0.0000  12 O 2.48

(2)
Density functional theory data (PBEsol) for Dy2Mn3Cu9P7 after structural relaxation.

Results
E_form in eV per atom: -0.451
Energy in eV/atom: -6.1079

a b c (Å): 3.6798 9.3269 9.3269
angles (deg): 120.00 90.00 90.00
Closest atoms and distances in Å follow each position.
Atoms (fractional coordinates):
Mn1 0.5000 0.8853 0.4187  5 P 2.36-2.57
Mn2 0.5000 0.5813 0.4666  5 P 2.36-2.57
Mn3 0.5000 0.5334 0.1147  5 P 2.36-2.57
Cu1 0.5000 0.2403 0.2922  4 P 2.34-2.40, 4 Cu 2.59-2.61
Cu2 0.0000 0.2797 0.8995  4 P 2.28-2.39
Cu3 0.0000 0.7827 0.1705  4 P 2.26-2.37
Cu4 0.5000 0.0519 0.7597  4 P 2.34-2.40, 4 Cu 2.59-2.61
Cu5 0.5000 0.7078 0.9481  4 P 2.34-2.40, 4 Cu 2.59-2.61
Cu6 0.0000 0.6198 0.7203  4 P 2.28-2.39
Cu7 0.0000 0.1005 0.3802  4 P 2.28-2.39
Cu8 0.0000 0.3878 0.2173  4 P 2.26-2.37
Cu9 0.0000 0.8295 0.6122  4 P 2.26-2.37
P1 0.0000 0.6667 0.3333  3 Cu 2.26
P2 0.5000 0.2523 0.0416  6 Cu 2.34-2.40, 1 Mn 2.36
P3 0.5000 0.7893 0.7477  6 Cu 2.34-2.40, 1 Mn 2.36
P4 0.0000 0.0762 0.6120  5 Cu 2.28-2.39
P5 0.0000 0.5359 0.9238  5 Cu 2.28-2.39
P6 0.0000 0.3880 0.4641  5 Cu 2.28-2.39
P7 0.5000 0.9584 0.2107  6 Cu 2.34-2.40, 1 Mn 2.36
Dy1 0.0000 0.0000 0.0000  6 P 2.86, 12 Cu 3.12-3.18
Dy2 0.5000 0.3333 0.6667  6 P 2.86, 9 Cu 3.07-3.15

(3)
Density functional theory data (PBEsol) for DyCu2O4 after structural relaxation.

Results
ΔE_f (raw) in eV per atom: -1.72
Energy in eV/atom: -6.6708

a b c (Å): 5.5955 6.1903 5.5955
angles (deg): 63.13 90.00 116.87
Closest atoms and distances in Å follow each position.
Atoms (fractional coordinates):
Dy1 0.0000 0.0000 0.0000  8 O 2.35-2.36
Dy2 0.7500 0.5000 0.7500  8 O 2.35-2.36
O1 0.4066 0.1048 0.7400  2 Cu 1.87-1.89
O2 0.5948 0.6048 0.3434  2 Cu 1.87-1.89
O3 0.1552 0.8952 0.4066  2 Cu 1.87-1.89
O4 0.6982 0.1048 0.1552  2 Cu 1.87-1.89
O5 0.3434 0.3952 0.0100  2 Cu 1.87-1.89
O6 0.7400 0.8952 0.6982  2 Cu 1.87-1.89
O7 0.0100 0.6048 0.0518  2 Cu 1.87-1.89
O8 0.0518 0.3952 0.5948  2 Cu 1.87-1.89
Cu1 0.3750 0.7500 0.3750  4 O 1.87-1.89
Cu2 0.3750 0.7500 0.8750  4 O 1.87-1.89
Cu3 0.8750 0.2500 0.3750  4 O 1.87-1.89
Cu4 0.3750 0.2500 0.3750  4 O 1.87-1.89

(4)
Density functional theory data (PBEsol) for Dy2Cu2O5 after structural relaxation.

Results
ΔE_f (raw) in eV per atom: -2.22
Energy in eV/atom: -7.2058

a b c (Å): 3.4831 10.7584 12.3674
angles (deg): 90.00 90.00 90.00
Closest atoms and distances in Å follow each position.
Atoms (fractional coordinates):
O1 0.2214 0.4235 0.4736  1 Cu 1.97
O2 0.1548 0.6249 0.1649  2 Cu 1.93-1.94
O3 0.7210 0.9275 0.2626  2 Cu 1.92-1.98
O4 0.7790 0.4275 0.2626  2 Cu 1.92-1.98
O5 0.7221 0.1744 0.3551  1 Cu 1.97, 1 Dy 2.21
O6 0.2790 0.0725 0.7626  2 Cu 1.92-1.98
O7 0.7128 0.3240 0.0655  2 Cu 1.92-1.99
O8 0.2786 0.9235 0.4736  1 Cu 1.97
O9 0.2779 0.8256 0.8551  1 Cu 1.97, 1 Dy 2.21
O10 0.8452 0.3751 0.6649  2 Cu 1.93-1.94
O11 0.2128 0.1761 0.5655  2 Cu 1.92-1.99
O12 0.7214 0.0765 0.9736  1 Cu 1.97
O13 0.7872 0.8240 0.0655  2 Cu 1.92-1.99
O14 0.2872 0.6760 0.5655  2 Cu 1.92-1.99
O15 0.6548 0.8751 0.6649  2 Cu 1.93-1.94
O16 0.7779 0.6744 0.3551  1 Cu 1.97, 1 Dy 2.21
O17 0.3452 0.1249 0.1649  2 Cu 1.93-1.94
O18 0.2210 0.5725 0.7626  2 Cu 1.92-1.98
O19 0.2221 0.3256 0.8551  1 Cu 1.97, 1 Dy 2.21
O20 0.7786 0.5765 0.9736  1 Cu 1.97
Dy1 0.7853 0.7925 0.5008  6 O 2.21-2.29
Dy2 0.2853 0.7075 0.0008  6 O 2.21-2.29
Dy3 0.2820 0.5431 0.3291  6 O 2.21-2.30
Dy4 0.7820 0.9569 0.8291  6 O 2.21-2.30
Dy5 0.7147 0.2925 0.5008  6 O 2.21-2.29
Dy6 0.2147 0.2075 0.0008  6 O 2.21-2.29
Dy7 0.2180 0.0431 0.3291  6 O 2.21-2.30
Dy8 0.7180 0.4569 0.8291  6 O 2.21-2.30
Cu1 0.6583 0.9889 0.1123  4 O 1.92-1.98
Cu2 0.8417 0.4889 0.1123  4 O 1.92-1.98
Cu3 0.1583 0.5111 0.6123  4 O 1.92-1.98
Cu4 0.1535 0.2378 0.7166  4 O 1.92-1.99
Cu5 0.3417 0.0111 0.6123  4 O 1.92-1.98
Cu6 0.8465 0.7622 0.2166  4 O 1.92-1.99
Cu7 0.3465 0.7378 0.7166  4 O 1.92-1.99
Cu8 0.6535 0.2622 0.2166  4 O 1.92-1.99

(5)
Density functional theory data (PBEsol) for Dy2Cu2O5 after structural relaxation.

Results
ΔE_f (raw) in eV per atom: -2.24
Energy in eV/atom: -7.2210

a b c (Å): 6.1672 7.0722 11.0632
angles (deg): 90.00 90.00 90.00
Closest atoms and distances in Å follow each position.
Atoms (fractional coordinates):
Cu1 0.9118 0.3702 0.2500  3 O 1.83-2.03
Cu2 0.0706 0.1526 0.7500  4 O 1.82-1.98
Cu3 0.5706 0.3474 0.7500  4 O 1.82-1.98
Cu4 0.0882 0.6298 0.7500  3 O 1.83-2.03
Cu5 0.4118 0.1298 0.2500  3 O 1.83-2.03
Cu6 0.9294 0.8474 0.2500  4 O 1.82-1.98
Cu7 0.4294 0.6526 0.2500  4 O 1.82-1.98
Cu8 0.5882 0.8702 0.7500  3 O 1.83-2.03
O1 0.0694 0.6452 0.5854  1 Cu 1.83
O2 0.0972 0.1127 0.9117  1 Cu 1.82
O3 0.5694 0.8548 0.5854  1 Cu 1.83
O4 0.2542 0.3818 0.7500  3 Cu 1.97-2.03
O5 0.4306 0.1452 0.4146  1 Cu 1.83
O6 0.9028 0.8873 0.4117  1 Cu 1.82
O7 0.0972 0.1127 0.5883  1 Cu 1.82
O8 0.7542 0.1182 0.7500  3 Cu 1.97-2.03
O9 0.7458 0.6182 0.2500  3 Cu 1.97-2.03
O10 0.5972 0.3873 0.5883  1 Cu 1.82
O11 0.4306 0.1452 0.0854  1 Cu 1.83
O12 0.4028 0.6127 0.4117  1 Cu 1.82
O13 0.5972 0.3873 0.9117  1 Cu 1.82
O14 0.2458 0.8818 0.2500  3 Cu 1.97-2.03
O15 0.9306 0.3548 0.4146  1 Cu 1.83
O16 0.5694 0.8548 0.9146  1 Cu 1.83
O17 0.9306 0.3548 0.0854  1 Cu 1.83
O18 0.0694 0.6452 0.9146  1 Cu 1.83
O19 0.4028 0.6127 0.0883  1 Cu 1.82
O20 0.9028 0.8873 0.0883  1 Cu 1.82
Dy1 0.7499 0.1191 0.9772  6 O 2.24-2.34
Dy2 0.2499 0.3809 0.9772  6 O 2.24-2.34
Dy3 0.7501 0.6191 0.4772  6 O 2.24-2.34
Dy4 0.2501 0.8809 0.4772  6 O 2.24-2.34
Dy5 0.7501 0.6191 0.0228  6 O 2.24-2.34
Dy6 0.2501 0.8809 0.0228  6 O 2.24-2.34
Dy7 0.7499 0.1191 0.5228  6 O 2.24-2.34
Dy8 0.2499 0.3809 0.5228  6 O 2.24-2.34

(6)
Density functional theory data (PBEsol) for Sr2DyCu3Pb2O8 after structural relaxation.

Results
ΔE_f (raw) in eV per atom: -1.75
Energy in eV/atom: -6.2303

a b c (Å): 3.7773 3.7773 15.6702
angles (deg): 90.00 90.00 90.00
Closest atoms and distances in Å follow each position.
Atoms (fractional coordinates):
Cu1 0.5000 0.5000 0.1032  4 O 1.90
Cu2 0.5000 0.5000 0.8968  4 O 1.90
Cu3 0.0000 0.0000 0.5000  2 O 1.84
O1 0.0000 0.5000 0.0918  2 Cu 1.90
O2 0.0000 0.0000 0.6172  1 Cu 1.84
O3 0.5000 0.5000 0.2497  1 Pb 2.16, 1 Cu 2.29
O4 0.5000 0.0000 0.0918  2 Cu 1.90
O5 0.5000 0.0000 0.9082  2 Cu 1.90
O6 0.0000 0.5000 0.9082  2 Cu 1.90
O7 0.5000 0.5000 0.7503  1 Pb 2.16, 1 Cu 2.29
O8 0.0000 0.0000 0.3828  1 Cu 1.84
Dy1 0.0000 0.0000 0.0000  8 O 2.37
Pb1 0.5000 0.5000 0.3878  1 O 2.16
Pb2 0.5000 0.5000 0.6122  1 O 2.16
Sr1 0.0000 0.0000 0.2200  9 O 2.55-2.76
Sr2 0.0000 0.0000 0.7800  9 O 2.55-2.76

(7)
Density functional theory data (PBEsol) for Dy2CuOs after structural relaxation.

Results
E_form in eV per atom: -0.244
Energy in eV/atom: -6.8707

a b c (Å): 4.7705 4.7705 4.7705
angles (deg): 60.00 60.00 60.00
Closest atoms and distances in Å follow each position.
Atoms (fractional coordinates):
Dy1 0.2500 0.2500 0.2500  4 Os 2.92, 4 Cu 2.92
Dy2 0.7500 0.7500 0.7500  4 Os 2.92, 4 Cu 2.92
Cu1 0.5000 0.5000 0.5000  8 Dy 2.92
Os1 0.0000 0.0000 0.0000  8 Dy 2.92

(8)
Density functional theory data (PBEsol) for Dy4Cu5P7 after structural relaxation.

Results
E_form in eV per atom: -0.877
Energy in eV/atom: -6.0099

a b c (Å): 5.1989 5.1989 10.2109
angles (deg): 104.75 104.75 90.00
Closest atoms and distances in Å follow each position.
Atoms (fractional coordinates):
P1 0.9264 0.9264 0.3433  4 Cu 2.35-2.38
P2 0.4170 0.4170 0.3433  4 Cu 2.35-2.38
P3 0.0000 0.5000 0.0000  2 P 2.60, 2 Cu 2.60, 4 Dy 2.89
P4 0.5000 0.0000 0.0000  2 P 2.60, 2 Cu 2.60, 4 Dy 2.89
P5 0.5000 0.5000 0.0000  4 P 2.60, 4 Dy 2.85
P6 0.0736 0.5830 0.6567  4 Cu 2.35-2.38
P7 0.5830 0.0736 0.6567  4 Cu 2.35-2.38
Dy1 0.8585 0.3753 0.2339  7 P 2.78-2.89, 2 Cu 2.93-3.08
Dy2 0.3753 0.8585 0.2339  7 P 2.78-2.89, 2 Cu 2.93-3.08
Dy3 0.1415 0.1415 0.7661  7 P 2.78-2.89, 2 Cu 2.93-3.08
Dy4 0.6247 0.6247 0.7661  7 P 2.78-2.89, 2 Cu 2.93-3.08
Cu1 0.2509 0.2509 0.5018  4 P 2.35-2.38, 4 Cu 2.60
Cu2 0.2500 0.7500 0.5000  4 P 2.37, 4 Cu 2.60
Cu3 0.7500 0.2500 0.5000  4 P 2.37, 4 Cu 2.60
Cu4 0.7491 0.7491 0.4982  4 P 2.35-2.38, 4 Cu 2.60
Cu5 0.0000 0.0000 0.0000  4 P 2.60

(9)
Density functional theory data (PBEsol) for DyCu4Pd after structural relaxation.

Results
E_form in eV per atom: -0.366
Energy in eV/atom: -5.0780

a b c (Å): 4.9070 4.9070 4.9070
angles (deg): 60.00 60.00 60.00
Closest atoms and distances in Å follow each position.
Atoms (fractional coordinates):
Pd1 0.0000 0.0000 0.0000  12 Cu 2.88, 4 Dy 3.00
Dy1 0.7500 0.7500 0.7500  12 Cu 2.88, 4 Pd 3.00
Cu1 0.3741 0.3741 0.8777  6 Cu 2.44-2.47
Cu2 0.8777 0.3741 0.3741  6 Cu 2.44-2.47
Cu3 0.3741 0.3741 0.3741  6 Cu 2.44-2.47
Cu4 0.3741 0.8777 0.3741  6 Cu 2.44-2.47